Arrangement w

Here is an optimized crystal structure of MgTaSb from Alexandria via LeMat-Bulk. Energies are from PBE-GGA.

The total magnetic moment is 0.0 μB/f.u.

Cell: 4.9291 4.9291 3.0065 Å, 90.00 90.00 120.00°
Space group P-6m2 (No. 187)
Symmetry-distinct sites (fractional):
Mg1 0.0000 0.0000 0.0000 [1 per cell]
Ta1 0.6667 0.3333 0.5000 [1 per cell]
Sb1 0.3333 0.6667 0.5000 [1 per cell]

---

Arrangement x

Here is an optimized crystal structure of MgTaSb from Alexandria via LeMat-Bulk. Energies are from PBE-GGA.

The total magnetic moment is 0.0 μB/f.u.

Cell: 3.1961 3.1961 7.2712 Å, 90.00 90.00 120.00°
Space group P3m1 (No. 156)
Symmetry-distinct sites (fractional):
Mg1 0.0000 0.0000 0.0000 [1 per cell]
Ta1 0.3333 0.6667 0.6802 [1 per cell]
Sb1 0.6667 0.3333 0.3640 [1 per cell]

---

Arrangement y

Here is an optimized crystal structure of MgTaSb from Alexandria via LeMat-Bulk. Energies are from PBE-GGA.

The total magnetic moment is 0.0 μB/f.u.

Cell: 3.720 4.902 14.602 Å, 90.00 90.00 90.00°
Space group Fmm2 (No. 42)
Symmetry-distinct sites (fractional):
Mg1 0.000 0.000 0.000 [4 per cell]
Ta1 0.000 0.000 0.651 [4 per cell]
Sb1 0.000 0.000 0.299 [4 per cell]

---

Result of the stability comparison: arrangement y is the most stable of them.

---

Arrangement w

Here is an optimized crystal structure of MgTaSbTe2 from Alexandria via LeMat-Bulk. Energies are from PBE-GGA.

The total magnetic moment is 0.0 μB/f.u.

Cell: 5.400 5.400 5.492 Å, 90.00 90.00 90.00°
Space group P4/mmm (No. 123)
Symmetry-distinct sites (fractional):
Mg1 0.000 0.000 0.000 [1 per cell]
Ta1 0.500 0.500 0.500 [1 per cell]
Sb1 0.500 0.500 0.000 [1 per cell]
Te1 0.000 0.500 0.500 [2 per cell]

---

Arrangement x

Here is an optimized crystal structure of MgTaSbTe2 from Alexandria via LeMat-Bulk. Energies are from PBE-GGA.

The total magnetic moment is 0.0 μB/f.u.

Cell: 5.277 5.277 5.164 Å, 90.00 90.00 90.00°
Space group P4/mmm (No. 123)
Symmetry-distinct sites (fractional):
Mg1 0.000 0.000 0.000 [1 per cell]
Ta1 0.500 0.500 0.500 [1 per cell]
Sb1 0.000 0.000 0.500 [1 per cell]
Te1 0.000 0.500 0.000 [2 per cell]

---

Result of the stability comparison: arrangement w is the most stable of them.

---

Arrangement w

Here is an optimized crystal structure of MgTcSb3 from Alexandria via LeMat-Bulk. Energies are from PBE-GGA.

The total magnetic moment is 3.7 μB/f.u.

Cell: 5.289 5.289 5.289 Å, 90.00 90.00 90.00°
Space group Pm-3m (No. 221)
Symmetry-distinct sites (fractional):
Mg1 0.000 0.000 0.000 [1 per cell]
Tc1 0.500 0.500 0.500 [1 per cell]
Sb1 0.000 0.000 0.500 [3 per cell]

---

Arrangement x

Here is an optimized crystal structure of MgTcSb3 from Alexandria via LeMat-Bulk. Energies are from PBE-GGA.

The total magnetic moment is 0.0 μB/f.u.

Cell: 5.200 5.200 5.200 Å, 90.00 90.00 90.00°
Space group Pm-3m (No. 221)
Symmetry-distinct sites (fractional):
Mg1 0.000 0.000 0.000 [1 per cell]
Tc1 0.500 0.500 0.500 [1 per cell]
Sb1 0.000 0.500 0.500 [3 per cell]

---

Result of the stability comparison: arrangement x is the most stable of them.

---

Arrangement w

Here is an optimized crystal structure of MgTcSbTe2 from Alexandria via LeMat-Bulk. Energies are from PBE-GGA.

The total magnetic moment is 3.7 μB/f.u.

Cell: 5.419 5.419 5.292 Å, 90.00 90.00 90.00°
Space group P4/mmm (No. 123)
Symmetry-distinct sites (fractional):
Mg1 0.000 0.000 0.000 [1 per cell]
Tc1 0.500 0.500 0.500 [1 per cell]
Sb1 0.000 0.000 0.500 [1 per cell]
Te1 0.000 0.500 0.000 [2 per cell]

---

Arrangement x

Here is an optimized crystal structure of MgTcSbTe2 from Alexandria via LeMat-Bulk. Energies are from PBE-GGA.

The total magnetic moment is 0.0 μB/f.u.

Cell: 5.350 5.350 5.093 Å, 90.00 90.00 90.00°
Space group P4/mmm (No. 123)
Symmetry-distinct sites (fractional):
Mg1 0.000 0.000 0.000 [1 per cell]
Tc1 0.500 0.500 0.500 [1 per cell]
Sb1 0.500 0.500 0.000 [1 per cell]
Te1 0.000 0.500 0.500 [2 per cell]

---

Result of the stability comparison: arrangement x is the most stable of them.

---

Arrangement w

Here is an optimized crystal structure of MgSbTe from Alexandria via LeMat-Bulk. Energies are from PBE-GGA.

The total magnetic moment is 0.0 μB/f.u.

Cell: 7.077 7.077 7.077 Å, 90.00 90.00 90.00°
Space group F-43m (No. 216)
Symmetry-distinct sites (fractional):
Mg1 0.000 0.000 0.000 [4 per cell]
Sb1 0.250 0.250 0.250 [4 per cell]
Te1 0.250 0.250 0.750 [4 per cell]

---

Arrangement x

Here is an optimized crystal structure of MgSbTe from Alexandria via LeMat-Bulk. Energies are from PBE-GGA.

The total magnetic moment is 0.0 μB/f.u.

Cell: 8.248 4.239 11.182 Å, 90.00 103.87 90.00°
Space group C2/m (No. 12)
Symmetry-distinct sites (fractional):
Mg1 0.108 0.000 0.251 [4 per cell]
Sb1 0.230 0.000 0.910 [4 per cell]
Te1 0.041 0.500 0.637 [4 per cell]

---

Arrangement y

Here is an optimized crystal structure of MgSbTe from Alexandria via LeMat-Bulk. Energies are from PBE-GGA.

The total magnetic moment is 0.0 μB/f.u.

Cell: 3.861 3.861 11.257 Å, 90.00 90.00 90.00°
Space group I4mm (No. 107)
Symmetry-distinct sites (fractional):
Mg1 0.000 0.000 0.000 [2 per cell]
Sb1 0.000 0.000 0.362 [2 per cell]
Te1 0.000 0.000 0.620 [2 per cell]

---

Arrangement z

Here is an optimized crystal structure of MgSbTe from Alexandria via LeMat-Bulk. Energies are from PBE-GGA.

The total magnetic moment is 0.0 μB/f.u.

Cell: 4.1425 4.1425 5.7423 Å, 90.00 90.00 120.00°
Space group P3m1 (No. 156)
Symmetry-distinct sites (fractional):
Mg1 0.0000 0.0000 0.0000 [1 per cell]
Sb1 0.6667 0.3333 0.3305 [1 per cell]
Te1 0.3333 0.6667 0.7081 [1 per cell]

---

Result of the stability comparison: arrangement x is the most stable of them.

---

Arrangement w

Here is an optimized crystal structure of MgVSb2Te from Alexandria via LeMat-Bulk. Energies are from PBE-GGA.

The total magnetic moment is 0.3 μB/f.u.

Cell: 5.282 5.282 5.394 Å, 90.00 90.00 90.00°
Space group P4/mmm (No. 123)
Symmetry-distinct sites (fractional):
Mg1 0.000 0.000 0.000 [1 per cell]
V1 0.500 0.500 0.500 [1 per cell]
Sb1 0.000 0.500 0.000 [2 per cell]
Te1 0.000 0.000 0.500 [1 per cell]

---

Arrangement x

Here is an optimized crystal structure of MgVSb2Te from Alexandria via LeMat-Bulk. Energies are from PBE-GGA.

The total magnetic moment is 0.0 μB/f.u.

Cell: 5.189 5.189 5.188 Å, 90.00 90.00 90.00°
Space group P4/mmm (No. 123)
Symmetry-distinct sites (fractional):
Mg1 0.000 0.000 0.000 [1 per cell]
V1 0.500 0.500 0.500 [1 per cell]
Sb1 0.000 0.500 0.500 [2 per cell]
Te1 0.500 0.500 0.000 [1 per cell]

---

Result of the stability comparison: arrangement x is the most stable of them.